Material: ReAg2Rh
Method: DFT, PBE
State: optimized geometry

The space group is Fm-3m (No. 225) and the conventional cell measures 6.3312, 6.3312 and 6.3312 Å, with angles of 90.00, 90.00 and 90.00 degrees. The inequivalent atoms are Re at (0.0000, 0.0000, 0.0000), Ag at (0.2500, 0.2500, 0.2500) and Rh at (0.0000, 0.0000, 0.5000).

The value obtained for the relative energy among the computed polymorphs is 675 meV per atom. As for the electronic total energy: -21.97 eV/f.u. As for the size of the total moment: 0.000 μB/f.u.